No. 1
A plane-wave DFT calculation with GGA-PBE was carried out for a relaxed structure of Nd3RuPt.

## Properties
spin magnetization	0.00	μB/cell
energy of formation	-446	meV per atom

Cell: 7.6431 8.7768 8.7768 Å, 73.17 86.06 86.06°
Last column: nearest neighbours and their distance in Å.
Element x y z (fractional)
Nd 0.6000 0.7847 0.0247  1 Ru 2.78, 3 Pt 2.89-3.03
Nd 0.9000 0.9753 0.2153  1 Ru 2.78, 3 Pt 2.89-3.03
Nd 0.4000 0.2153 0.9753  1 Ru 2.78, 3 Pt 2.89-3.03
Nd 0.1000 0.0247 0.7847  1 Ru 2.78, 3 Pt 2.89-3.03
Nd 0.8440 0.3790 0.9939  3 Ru 2.88-2.99, 1 Pt 2.91
Nd 0.6560 0.0061 0.6210  3 Ru 2.88-2.99, 1 Pt 2.91
Nd 0.1560 0.6210 0.0061  3 Ru 2.88-2.99, 1 Pt 2.91
Nd 0.3440 0.9939 0.3790  3 Ru 2.88-2.99, 1 Pt 2.91
Nd 0.5788 0.5759 0.6609  1 Ru 2.71, 1 Pt 2.89
Nd 0.9212 0.3391 0.4241  1 Ru 2.71, 1 Pt 2.89
Nd 0.4212 0.4241 0.3391  1 Ru 2.71, 1 Pt 2.89
Nd 0.0788 0.6609 0.5759  1 Ru 2.71, 1 Pt 2.89
Ru 0.8583 0.7185 0.8107  5 Nd 2.71-2.99
Ru 0.6417 0.1893 0.2815  5 Nd 2.71-2.99
Ru 0.1417 0.2815 0.1893  5 Nd 2.71-2.99
Ru 0.3583 0.8107 0.7185  5 Nd 2.71-2.99
Pt 0.2500 0.8896 0.1104  6 Nd 2.89-3.03
Pt 0.7500 0.1104 0.8896  6 Nd 2.89-3.03
Pt 0.2500 0.3460 0.6540  4 Nd 2.89-2.99
Pt 0.7500 0.6540 0.3460  4 Nd 2.89-2.99

No. 2
A plane-wave DFT calculation with GGA-PBE was carried out for a relaxed structure of Ce2Tm3PuSe6.

## Properties
uncorrected formation energy	-1719	meV per atom
spin magnetization	8.13	μB/cell

Cell: 4.0590 8.2943 9.2262 Å, 104.44 102.71 90.00°
Last column: nearest neighbours and their distance in Å.
Element x y z (fractional)
Ce 0.8331 0.6659 0.6662  6 Se 2.97
Ce 0.1669 0.3341 0.3338  6 Se 2.97
Tm 0.5000 0.5000 0.0000  6 Se 2.83-2.86
Tm 0.8333 0.1664 0.6665  6 Se 2.83-2.86
Tm 0.1667 0.8336 0.3335  6 Se 2.83-2.86
Pu 0.5000 0.0000 0.0000  6 Se 2.95
Se 0.3309 0.9268 0.6618  3 Tm 2.83-2.86, 1 Pu 2.95, 2 Ce 2.97
Se 0.6625 0.5934 0.3250  3 Tm 2.83, 3 Ce 2.97
Se 0.6691 0.0732 0.3382  3 Tm 2.83-2.86, 1 Pu 2.95, 2 Ce 2.97
Se 0.9963 0.2557 0.9925  3 Tm 2.84-2.86, 2 Pu 2.95, 1 Ce 2.97
Se 0.0037 0.7443 0.0075  3 Tm 2.84-2.86, 2 Pu 2.95, 1 Ce 2.97
Se 0.3375 0.4066 0.6750  3 Tm 2.83, 3 Ce 2.97

No. 3
A plane-wave DFT calculation with GGA-PBE was carried out for a relaxed structure of CdSe2Br.

## Properties
uncorrected formation energy	347	meV per atom
spin magnetization	0.00	μB/cell

Cell: 5.3744 5.3744 3.1839 Å, 90.00 90.00 90.00°
Last column: nearest neighbours and their distance in Å.
Element x y z (fractional)
Br 0.5000 0.0000 0.5000  8 Se 3.12, 2 Br 3.18
Cd 0.0000 0.5000 0.5000  8 Se 3.12, 2 Cd 3.18
Se 0.0000 0.0000 0.0000  4 Cd 3.12, 4 Br 3.12, 2 Se 3.18
Se 0.5000 0.5000 0.0000  4 Cd 3.12, 4 Br 3.12, 2 Se 3.18

No. 4
A plane-wave DFT calculation with GGA-PBE was carried out for a relaxed structure of Ce2BRu6.

## Properties
spin magnetization	0.00	μB/cell
energy of formation	138	meV per atom

Cell: 2.9625 7.4183 7.4183 Å, 120.00 90.00 90.00°
Last column: nearest neighbours and their distance in Å.
Element x y z (fractional)
Ce 0.5000 0.3333 0.6667  9 Ru 2.79-2.97, 2 Ce 2.96
Ce 0.5000 0.6667 0.3333  9 Ru 2.79-2.97, 2 Ce 2.96
B 0.0000 0.0000 0.0000  6 Ru 2.22
Ru 0.5000 0.0000 0.7765  2 B 2.22
Ru 0.5000 0.7765 0.0000  2 B 2.22
Ru 0.5000 0.2235 0.2235  2 B 2.22
Ru 0.0000 0.6369 0.6369  1 B 2.69, 6 Ru 2.78-2.96, 4 Ce 2.79
Ru 0.0000 0.3631 0.0000  1 B 2.69, 6 Ru 2.78-2.96, 4 Ce 2.79
Ru 0.0000 0.0000 0.3631  1 B 2.69, 6 Ru 2.78-2.96, 4 Ce 2.79